(1)
First-principles (PBEsol) data for crystalline Y2MnRe at its relaxed geometry, as listed in the Alexandria database.

Calculated values
- DOS(E_F): 0.471 states/eV/atom
- ΔE to the lowest computed polymorph: 0.00 eV/f.u.
- VASP energy: -8.893 eV per atom

The structure in POSCAR format:
```
Y2MnRe
1.0
-0.577 2.927 -1.278
-2.336 0.867 3.040
5.470 1.188 3.866
Mn Re Y
1 1 2
direct
0.121 0.000 0.550
0.361 0.500 0.697
0.918 0.000 0.932
0.600 0.500 0.321
```



(2)
First-principles (PBEsol) data for crystalline LiMnSi3O8 at its relaxed geometry, as listed in the Alexandria database.

Calculated values
- VASP energy: -7.890 eV per atom

The structure in POSCAR format:
```
LiMnSi3O8
1.0
7.050 -0.110 -0.055
0.817 7.110 0.107
3.393 3.160 6.109
Li Mn Si O
2 2 6 16
direct
0.805 0.658 0.168
0.195 0.342 0.832
0.168 0.927 0.774
0.832 0.073 0.226
0.737 0.777 0.771
0.263 0.223 0.229
0.617 0.207 0.543
0.383 0.793 0.457
0.731 0.331 0.834
0.269 0.669 0.166
0.896 0.830 0.846
0.104 0.170 0.154
0.728 0.280 0.652
0.272 0.720 0.348
0.503 0.734 0.965
0.497 0.266 0.035
0.363 0.143 0.701
0.637 0.857 0.299
0.904 0.211 0.925
0.096 0.789 0.075
0.730 0.982 0.547
0.270 0.018 0.453
0.799 0.588 0.708
0.201 0.412 0.292
0.698 0.355 0.285
0.302 0.645 0.715
```